The following is a PBE calculation of a relaxed structure of La2SnBr, from the Alexandria database.

The structure belongs to space group R-3m (No. 166, hexagonal axes); the cell edges are 4.6512, 4.6512 and 21.0632 Å and the angles 90.00°, 90.00° and 120.00°. The asymmetric unit holds La at (0.0000, 0.0000, 0.2485), Sn at (0.0000, 0.0000, 0.5000) and Br at (0.0000, 0.0000, 0.0000).

The value obtained for the total energy is -59.87 eV per cell. For the distance to the lowest polymorph of the same formula, the calculation gives 0.0 meV per atom. As for the raw formation energy: -1.107 eV per atom.